MgHg2: relaxed, GGA-PBE.

Geometry as POSCAR:
```
MgHg2
1.0
1.6480 -4.0638 1.6774
-2.9833 -3.3598 1.3623
-0.4251 -3.9302 -2.5332
Hg Mg
2 1
Direct
0.7500 0.7500 0.7500 Hg
0.2500 0.2500 0.2500 Hg
0.0000 0.0000 0.0000 Mg
```

Properties
Calculated volume: 73 Å³ per cell
Space-group type: No. 225

---

MgHg: relaxed, GGA-PBE.

Geometry as POSCAR:
```
MgHg
1.0
5.4517 0.0000 0.0000
0.0000 5.9019 0.0000
0.0000 0.0000 5.3645
Hg Mg
4 4
Direct
0.4651 0.7868 0.0000 Hg
0.9651 0.4632 0.0000 Hg
0.3683 0.4632 0.5000 Hg
0.8683 0.7868 0.5000 Hg
0.3623 0.9705 0.5000 Mg
0.4710 0.2795 0.0000 Mg
0.9710 0.9705 0.0000 Mg
0.8623 0.2795 0.5000 Mg
```

Properties
Calculated volume: 173 Å³ per cell
Space-group type: No. 57

---

Mg5Hg3: relaxed, GGA-PBE.

Geometry as POSCAR:
```
Mg5Hg3
1.0
28.9238 0.0000 0.0000
0.0000 3.5605 0.0000
0.0000 0.0000 13.5218
Hg Mg
24 40
Direct
0.2761 0.7500 0.0151 Hg
0.4287 0.2500 0.4154 Hg
0.9281 0.7500 0.4349 Hg
0.5713 0.7500 0.5846 Hg
0.5554 0.2500 0.2492 Hg
0.0719 0.2500 0.5651 Hg
0.7761 0.7500 0.4849 Hg
0.4281 0.7500 0.0651 Hg
0.2048 0.7500 0.7527 Hg
0.1470 0.7500 0.2184 Hg
0.0554 0.2500 0.2508 Hg
0.3530 0.2500 0.7184 Hg
0.2239 0.2500 0.5151 Hg
0.7952 0.2500 0.2472 Hg
0.2952 0.2500 0.2527 Hg
0.8530 0.2500 0.7816 Hg
0.6470 0.7500 0.2816 Hg
0.9446 0.7500 0.7492 Hg
0.9287 0.2500 0.0846 Hg
0.4446 0.7500 0.7508 Hg
0.7239 0.2500 0.9849 Hg
0.5719 0.2500 0.9349 Hg
0.7048 0.7500 0.7473 Hg
0.0713 0.7500 0.9154 Hg
0.6252 0.2500 0.7183 Mg
0.8950 0.7500 0.9339 Mg
0.8748 0.7500 0.2183 Mg
0.5107 0.7500 0.3998 Mg
0.4682 0.2500 0.9179 Mg
0.0398 0.7500 0.7146 Mg
0.1252 0.2500 0.7817 Mg
0.3659 0.7500 0.8906 Mg
0.7845 0.7500 0.8683 Mg
0.7712 0.2500 0.6561 Mg
0.8659 0.7500 0.6094 Mg
0.8225 0.2500 0.0448 Mg
0.0318 0.7500 0.4179 Mg
0.9893 0.2500 0.8998 Mg
0.1050 0.2500 0.0661 Mg
0.3225 0.2500 0.4552 Mg
0.4602 0.2500 0.2146 Mg
0.6050 0.2500 0.4339 Mg
0.0107 0.7500 0.1002 Mg
0.1341 0.2500 0.3906 Mg
0.3504 0.2500 0.0821 Mg
0.3748 0.7500 0.2817 Mg
0.4893 0.2500 0.6002 Mg
0.6775 0.7500 0.5448 Mg
0.2712 0.2500 0.8439 Mg
0.5318 0.7500 0.0821 Mg
0.8504 0.2500 0.4179 Mg
0.5398 0.7500 0.7854 Mg
0.2288 0.7500 0.3439 Mg
0.6496 0.7500 0.9179 Mg
0.7288 0.7500 0.1561 Mg
0.2845 0.7500 0.6317 Mg
0.7155 0.2500 0.3683 Mg
0.2155 0.2500 0.1317 Mg
0.9602 0.2500 0.2854 Mg
0.1775 0.7500 0.9552 Mg
0.1496 0.7500 0.5821 Mg
0.6341 0.2500 0.1094 Mg
0.3950 0.7500 0.5661 Mg
0.9682 0.2500 0.5821 Mg
```

Properties
Calculated volume: 1393 Å³ per cell
Space-group type: No. 62
Energy above the lowest structure with this stoichiometry: 34 meV per atom

---

Mg2Hg: relaxed, GGA-PBE.

Geometry as POSCAR:
```
Mg2Hg
1.0
0.0000 4.0821 4.0821
4.0821 0.0000 4.0821
4.0821 4.0821 0.0000
Mg Hg
4 2
Direct
0.6250 0.6250 0.6250 Mg
0.6250 0.1250 0.6250 Mg
0.1250 0.6250 0.6250 Mg
0.6250 0.6250 0.1250 Mg
0.2500 0.2500 0.2500 Hg
0.0000 0.0000 0.0000 Hg
```

Properties
Calculated volume: 136 Å³ per cell
Space-group type: No. 227

---

no.,raw total energy (hartree per atom)
1,-0.028
2,-0.040
3,-0.046
4,-0.040